Below is an optimized crystal structure of Hg5Sb4Pb4, with properties calculated at the PBE level.

Lattice parameters (Å, degrees): 4.836 8.071 11.309 103.81 99.11 96.59
Sites, in units of the cell vectors:
Hg: 0.000 0.000 0.000
Hg: 0.257 0.689 0.066
Hg: 0.348 0.965 0.787
Hg: 0.652 0.035 0.213
Hg: 0.743 0.311 0.934
Sb: 0.239 0.469 0.807
Sb: 0.334 0.297 0.545
Sb: 0.666 0.703 0.455
Sb: 0.761 0.531 0.193
Pb: 0.172 0.893 0.370
Pb: 0.241 0.331 0.269
Pb: 0.759 0.669 0.731
Pb: 0.828 0.107 0.630

Uncorrected formation energy: 59 meV per atom
SG: No. 2
Magnetic moment: 0.00 Bohr magnetons per cell
Fermi-level density of states: 0.305 states/eV per atom